DFT (PBE) results for an optimized crystal structure of Ac4CoPdI2.

Cell lengths 4.3580, 7.6466, 8.9981 Å; angles 106.33, 90.00, 90.00 degrees
Closest atoms and distances in Å follow each position.
Sites, in units of the cell vectors:
1 I 0.0000 0.5000 0.5000  6 Ac 3.67-3.68
2 Ac 0.0000 0.2863 0.8176  2 Co 2.93, 1 Pd 3.08
3 Ac 0.0000 0.7137 0.1824  2 Co 2.93, 1 Pd 3.08
4 Ac 0.5000 0.2425 0.1852  1 Co 2.92, 2 Pd 3.04
5 Ac 0.5000 0.7575 0.8148  1 Co 2.92, 2 Pd 3.04
6 I 0.5000 0.0000 0.5000  6 Ac 3.77-3.80
7 Co 0.5000 0.5000 0.0000  6 Ac 2.92-2.93
8 Pd 0.0000 0.0000 0.0000  6 Ac 3.04-3.08

Properties
Space group: P2/m (10)
Crystal system: monoclinic

***

DFT (PBE) results for an optimized crystal structure of Ac8Co3PdI4.

Cell lengths 8.6584, 9.9657, 8.6587 Å; angles 115.72, 120.00, 90.00 degrees
Closest atoms and distances in Å follow each position.
Sites, in units of the cell vectors:
1 Co 0.5000 0.5000 0.5000  6 Ac 2.91-2.95
2 Ac 0.7276 0.6823 0.4551  3 Co 2.95-2.96
3 Ac 0.2345 0.6827 0.9490  2 Co 2.91-2.92, 1 Pd 3.04
4 I 0.5000 0.0000 0.5000  6 Ac 3.71-3.74
5 Pd 0.0000 0.5000 0.0000  6 Ac 3.04
6 Ac 0.2724 0.3177 0.5449  3 Co 2.95-2.96
7 I 0.5000 0.0000 0.0000  6 Ac 3.64
8 Co 0.5000 0.5000 0.0000  6 Ac 2.91-2.96
9 Ac 0.7655 0.3173 0.0510  2 Co 2.91-2.92, 1 Pd 3.04
10 Ac 0.2855 0.3173 0.0510  2 Co 2.91-2.92, 1 Pd 3.04
11 I 0.0000 0.0000 0.5000  6 Ac 3.71-3.74
12 I 0.0000 0.0000 0.0000  6 Ac 3.71-3.74
13 Ac 0.7145 0.6827 0.9490  2 Co 2.91-2.92, 1 Pd 3.04
14 Ac 0.7657 0.3176 0.5315  2 Co 2.91, 1 Pd 3.04
15 Co 0.0000 0.5000 0.5000  6 Ac 2.91-2.95
16 Ac 0.2343 0.6824 0.4685  2 Co 2.91, 1 Pd 3.04

Properties
Space group: R-3m (166)
Crystal system: trigonal

***

DFT (PBE) results for an optimized crystal structure of AcPrCoI.

Cell lengths 4.1742, 4.1728, 8.7811 Å; angles 90.00, 103.70, 120.00 degrees
Closest atoms and distances in Å follow each position.
Sites, in units of the cell vectors:
1 Ac 0.5175 0.1565 0.6901  3 Co 2.88-2.89
2 Co 0.3095 0.5526 0.8774  3 Pr 2.83, 3 Ac 2.88-2.89
3 Pr 0.0934 0.9447 0.0526  3 Co 2.83
4 I 0.9575 0.3770 0.3496  3 Pr 3.48, 3 Ac 3.75

Properties
Space group: R3m (160)
Crystal system: trigonal

***

DFT (PBE) results for an optimized crystal structure of Ac8Co3PtI3.

Cell lengths 8.6475, 8.6461, 9.8851 Å; angles 115.86, 89.96, 120.01 degrees
Closest atoms and distances in Å follow each position.
Sites, in units of the cell vectors:
1 Ac 0.7665 0.5335 0.3178  2 Co 2.90-2.91, 1 Pt 3.02
2 Ac 0.7660 0.0500 0.3172  2 Co 2.90-2.91, 1 Pt 3.02
3 Co 0.0000 0.5000 0.5000  6 Ac 2.91-2.94
4 I 0.5000 0.5000 0.0000  6 Ac 3.68-3.72
5 Pt 0.0000 0.0000 0.5000  6 Ac 3.02
6 Ac 0.2715 0.5435 0.3162  3 Co 2.94-2.96
7 Ac 0.2335 0.4665 0.6822  2 Co 2.90-2.91, 1 Pt 3.02
8 Ac 0.2340 0.9500 0.6828  2 Co 2.90-2.91, 1 Pt 3.02
9 Co 0.5000 0.5000 0.5000  6 Ac 2.90-2.95
10 Ac 0.2841 0.0503 0.3171  2 Co 2.91, 1 Pt 3.02
11 I 0.0000 0.0000 0.0000  6 Ac 3.68-3.72
12 Ac 0.7159 0.9497 0.6829  2 Co 2.91, 1 Pt 3.02
13 I 0.0000 0.5000 0.0000  6 Ac 3.68-3.72
14 Co 0.5000 0.0000 0.5000  6 Ac 2.90-2.96
15 Ac 0.7285 0.4565 0.6838  3 Co 2.94-2.96

Properties
Space group: C2/m (12)
Crystal system: monoclinic

***

DFT (PBE) results for an optimized crystal structure of Ac6CoPt2I3.

Cell lengths 7.6499, 7.6499, 8.9826 Å; angles 98.15, 98.15, 120.02 degrees
Closest atoms and distances in Å follow each position.
Sites, in units of the cell vectors:
1 I 0.5000 0.5000 0.5000  6 Ac 3.70-3.80
2 Pt 0.3333 0.6667 0.0000  6 Ac 3.05
3 I 0.8338 0.1662 0.5000  6 Ac 3.69-3.80
4 I 0.1662 0.8338 0.5000  6 Ac 3.69-3.80
5 Ac 0.3814 0.0613 0.1838  1 Co 2.92, 2 Pt 3.05
6 Ac 0.6186 0.9387 0.8162  1 Co 2.92, 2 Pt 3.05
7 Ac 0.7412 0.7412 0.1841  1 Co 2.92, 2 Pt 3.05
8 Ac 0.9387 0.6186 0.8162  1 Co 2.92, 2 Pt 3.05
9 Pt 0.6667 0.3333 0.0000  6 Ac 3.05
10 Ac 0.0613 0.3814 0.1838  1 Co 2.92, 2 Pt 3.05
11 Ac 0.2588 0.2588 0.8159  1 Co 2.92, 2 Pt 3.05
12 Co 0.0000 0.0000 0.0000  6 Ac 2.92

Properties
Space group: C2/m (12)
Crystal system: monoclinic

***

DFT (PBE) results for an optimized crystal structure of Ac4CoPtI2.

Cell lengths 4.3604, 7.6390, 8.9792 Å; angles 106.42, 90.00, 90.00 degrees
Closest atoms and distances in Å follow each position.
Sites, in units of the cell vectors:
1 Pt 0.0000 0.0000 0.0000  6 Ac 3.02-3.06
2 Ac 0.0000 0.7160 0.1818  2 Co 2.94, 1 Pt 3.06
3 Co 0.5000 0.5000 0.0000  6 Ac 2.93-2.94
4 Ac 0.0000 0.2840 0.8182  2 Co 2.94, 1 Pt 3.06
5 I 0.5000 0.0000 0.5000  6 Ac 3.76-3.78
6 I 0.0000 0.5000 0.5000  6 Ac 3.68
7 Ac 0.5000 0.2387 0.1842  1 Co 2.93, 2 Pt 3.02
8 Ac 0.5000 0.7613 0.8158  1 Co 2.93, 2 Pt 3.02

Properties
Space group: P2/m (10)
Crystal system: monoclinic

***

DFT (PBE) results for an optimized crystal structure of Ac6CoPt2I2.

Cell lengths 7.6634, 7.6634, 8.8627 Å; angles 98.26, 98.26, 120.22 degrees
Closest atoms and distances in Å follow each position.
Sites, in units of the cell vectors:
1 Ac 0.9350 0.6186 0.3154  1 Co 2.90, 2 Pt 3.03-3.05
2 Ac 0.3814 0.0650 0.6846  1 Co 2.90, 2 Pt 3.03-3.05
3 Pt 0.3315 0.6685 0.5000  6 Ac 3.03-3.05
4 Co 0.0000 0.0000 0.5000  6 Ac 2.90-2.94
5 Ac 0.7376 0.7376 0.6861  1 Co 2.94, 2 Pt 3.05
6 Ac 0.0650 0.3814 0.6846  1 Co 2.90, 2 Pt 3.03-3.05
7 Ac 0.2624 0.2624 0.3139  1 Co 2.94, 2 Pt 3.05
8 Pt 0.6685 0.3315 0.5000  6 Ac 3.03-3.05
9 Ac 0.6186 0.9350 0.3154  1 Co 2.90, 2 Pt 3.03-3.05
10 I 0.1678 0.8322 0.0000  6 Ac 3.67-3.77
11 I 0.8322 0.1678 0.0000  6 Ac 3.67-3.77

Properties
Space group: C2/m (12)
Crystal system: monoclinic

***

DFT (PBE) results for an optimized crystal structure of Ac8Co3PtI4.

Cell lengths 8.6587, 9.9528, 8.6626 Å; angles 115.75, 119.98, 90.00 degrees
Closest atoms and distances in Å follow each position.
Sites, in units of the cell vectors:
1 Ac 0.7168 0.6824 0.9501  2 Co 2.92-2.93, 1 Pt 3.02
2 Ac 0.2832 0.3176 0.0499  2 Co 2.92-2.93, 1 Pt 3.02
3 Ac 0.2724 0.3180 0.5449  3 Co 2.95-2.96
4 Ac 0.2333 0.6824 0.9501  2 Co 2.92-2.93, 1 Pt 3.02
5 Ac 0.7671 0.3182 0.5343  2 Co 2.91, 1 Pt 3.02
6 Co 0.0000 0.5000 0.5000  6 Ac 2.91-2.95
7 Ac 0.7667 0.3176 0.0499  2 Co 2.92-2.93, 1 Pt 3.02
8 I 0.5000 0.0000 0.0000  6 Ac 3.65-3.66
9 Ac 0.2329 0.6818 0.4657  2 Co 2.91, 1 Pt 3.02
10 I 0.0000 0.0000 0.0000  6 Ac 3.71-3.73
11 Co 0.5000 0.5000 0.5000  6 Ac 2.91-2.95
12 I 0.5000 0.0000 0.5000  6 Ac 3.71-3.74
13 Pt 0.0000 0.5000 0.0000  6 Ac 3.02
14 Ac 0.7276 0.6820 0.4551  3 Co 2.95-2.96
15 I 0.0000 0.0000 0.5000  6 Ac 3.71-3.74
16 Co 0.5000 0.5000 0.0000  6 Ac 2.92-2.96

Properties
Space group: C2/m (12)
Crystal system: monoclinic

***

DFT (PBE) results for an optimized crystal structure of Ac6CoRh2I2.

Cell lengths 7.5074, 7.5074, 9.0312 Å; angles 97.94, 97.94, 120.07 degrees
Closest atoms and distances in Å follow each position.
Sites, in units of the cell vectors:
1 Ac 0.9398 0.6131 0.3186  1 Co 2.91, 2 Rh 2.95-2.98
2 Ac 0.7352 0.7352 0.6806  1 Co 2.90, 2 Rh 3.00
3 Ac 0.2648 0.2648 0.3194  1 Co 2.90, 2 Rh 3.00
4 Ac 0.0602 0.3869 0.6814  1 Co 2.91, 2 Rh 2.95-2.98
5 I 0.8338 0.1662 0.0000  6 Ac 3.71-3.77
6 Rh 0.3309 0.6691 0.5000  6 Ac 2.95-3.00
7 Ac 0.6131 0.9398 0.3186  1 Co 2.91, 2 Rh 2.95-2.98
8 Ac 0.3869 0.0602 0.6814  1 Co 2.91, 2 Rh 2.95-2.98
9 Rh 0.6691 0.3309 0.5000  6 Ac 2.95-3.00
10 I 0.1662 0.8338 0.0000  6 Ac 3.71-3.77
11 Co 0.0000 0.0000 0.5000  6 Ac 2.90-2.91

Properties
Space group: C2/m (12)
Crystal system: monoclinic

***

DFT (PBE) results for an optimized crystal structure of Ac8Co3RhI4.

Cell lengths 8.5894, 9.9683, 8.5898 Å; angles 115.52, 120.00, 90.00 degrees
Closest atoms and distances in Å follow each position.
Sites, in units of the cell vectors:
1 Ac 0.2307 0.6823 0.4613  2 Co 2.92, 1 Rh 2.98
2 Ac 0.7274 0.6809 0.4547  3 Co 2.93-2.94
3 Ac 0.7693 0.3177 0.5387  2 Co 2.92, 1 Rh 2.98
4 Co 0.0000 0.5000 0.5000  6 Ac 2.92-2.93
5 I 0.5000 0.0000 0.0000  6 Ac 3.67
6 I 0.0000 0.0000 0.0000  6 Ac 3.71-3.72
7 Ac 0.2782 0.3172 0.0469  2 Co 2.92-2.93, 1 Rh 2.98
8 Ac 0.7687 0.3172 0.0469  2 Co 2.92-2.93, 1 Rh 2.98
9 Rh 0.0000 0.5000 0.0000  6 Ac 2.98
10 Co 0.5000 0.5000 0.5000  6 Ac 2.92-2.93
11 Ac 0.7218 0.6828 0.9531  2 Co 2.92-2.93, 1 Rh 2.98
12 I 0.0000 0.0000 0.5000  6 Ac 3.71-3.72
13 I 0.5000 0.0000 0.5000  6 Ac 3.71-3.72
14 Co 0.5000 0.5000 0.0000  6 Ac 2.92-2.94
15 Ac 0.2726 0.3191 0.5453  3 Co 2.93-2.94
16 Ac 0.2313 0.6828 0.9531  2 Co 2.92-2.93, 1 Rh 2.98

Properties
Space group: C2/m (12)
Crystal system: monoclinic

***

Number 1: density of states at the Fermi level 4.07 states/eV/cell, DFT total energy -38.30 eV/cell, formation energy (no corrections) -0.8082 eV/atom. Number 2: density of states at the Fermi level 5.81 states/eV/cell, DFT total energy -77.06 eV/cell, formation energy (no corrections) -0.7178 eV/atom. Number 3: density of states at the Fermi level 0.90 states/eV/cell, DFT total energy -19.87 eV/cell, formation energy (no corrections) -0.5819 eV/atom. Number 4: density of states at the Fermi level 7.07 states/eV/cell, DFT total energy -74.37 eV/cell, formation energy (no corrections) -0.6327 eV/atom. Number 5: density of states at the Fermi level 7.38 states/eV/cell, DFT total energy -60.86 eV/cell, formation energy (no corrections) -1.0306 eV/atom. Number 6: density of states at the Fermi level 3.81 states/eV/cell, DFT total energy -40.09 eV/cell, formation energy (no corrections) -0.9260 eV/atom. Number 7: density of states at the Fermi level 6.61 states/eV/cell, DFT total energy -56.44 eV/cell, formation energy (no corrections) -0.8633 eV/atom. Number 8: density of states at the Fermi level 5.79 states/eV/cell, DFT total energy -78.81 eV/cell, formation energy (no corrections) -0.7738 eV/atom. Number 9: density of states at the Fermi level 5.89 states/eV/cell, DFT total energy -57.46 eV/cell, formation energy (no corrections) -0.7186 eV/atom. Number 10: density of states at the Fermi level 3.57 states/eV/cell, DFT total energy -79.49 eV/cell, formation energy (no corrections) -0.7345 eV/atom.